[1]
Density functional theory data (PBE) for a geometry-optimized PrDy4Er structure.

Output
As for the total energy: -4.35 eV per atom. The density of states at the Fermi level is 10.9 states/eV/cell. For the formation energy, the calculation gives 1.6 eV/f.u.

```
PrDy4Er
1.0
0.0000 4.6582 4.6582
4.6582 0.0000 4.6582
4.6582 4.6582 0.0000
Pr Dy Er
1 4 1
Direct
0.0000 0.0000 0.0000 Pr
0.3753 0.3753 0.3753 Dy
0.3753 0.3753 0.8740 Dy
0.3753 0.8740 0.3753 Dy
0.8740 0.3753 0.3753 Dy
0.7500 0.7500 0.7500 Er
```

[2]
Density functional theory data (PBE) for a geometry-optimized AcTiTcGe2 structure.

Output
As for the total energy: -6.88 eV per atom. The density of states at the Fermi level is 9.0 states/eV/cell. For the formation energy, the calculation gives -2.8 eV/f.u.

```
AcTiTcGe2
1.0
4.1802 0.0000 0.0000
0.0000 4.1802 0.0000
0.0000 0.0000 11.9126
Ac Ti Tc Ge
2 2 2 4
Direct
0.0000 0.0000 0.0000 Ac
0.5000 0.5000 0.5000 Ac
0.0000 0.5000 0.7500 Ti
0.5000 0.0000 0.2500 Ti
0.0000 0.5000 0.2500 Tc
0.5000 0.0000 0.7500 Tc
0.0000 0.0000 0.3794 Ge
0.0000 0.0000 0.6206 Ge
0.5000 0.5000 0.1206 Ge
0.5000 0.5000 0.8794 Ge
```

[3]
Density functional theory data (PBE) for a geometry-optimized Pm8Sm2Er structure.

Output
As for the total energy: -4.56 eV per atom. The density of states at the Fermi level is 16.5 states/eV/cell. For the formation energy, the calculation gives 1.8 eV/f.u.

```
Pm8Sm2Er
1.0
9.5856 -3.5435 0.0000
9.5856 3.5435 0.0000
-0.3855 0.0000 5.7231
Pm Sm Er
8 2 1
Direct
0.0446 0.0446 0.2344 Pm
0.1078 0.6353 0.2693 Pm
0.3138 0.3138 0.7722 Pm
0.3647 0.8922 0.7307 Pm
0.6353 0.1078 0.2693 Pm
0.6862 0.6862 0.2278 Pm
0.8922 0.3647 0.7307 Pm
0.9554 0.9554 0.7656 Pm
0.2161 0.2161 0.2579 Sm
0.7839 0.7839 0.7421 Sm
0.5000 0.5000 0.0000 Er
```

[4]
Density functional theory data (PBE) for a geometry-optimized SrLi2Hg structure.

Output
As for the total energy: -1.64 eV per atom. The density of states at the Fermi level is 5.3 states/eV/cell. For the formation energy, the calculation gives -0.7 eV/f.u.

```
SrLi2Hg
1.0
4.7325 0.0000 0.0000
0.0000 4.7325 0.0000
0.0000 0.0000 9.1426
Sr Li Hg
2 4 2
Direct
0.0000 0.0000 0.0000 Sr
0.5000 0.5000 0.5000 Sr
0.0000 0.5000 0.2500 Li
0.0000 0.5000 0.7500 Li
0.5000 0.0000 0.2500 Li
0.5000 0.0000 0.7500 Li
0.0000 0.0000 0.5000 Hg
0.5000 0.5000 0.0000 Hg
```

[5]
Density functional theory data (PBE) for a geometry-optimized DyPuC structure.

Output
As for the total energy: -9.08 eV per atom. The density of states at the Fermi level is 19.5 states/eV/cell. For the formation energy, the calculation gives 0.9 eV/f.u.

```
DyPuC
1.0
6.1202 0.0000 0.0000
0.0000 6.1202 0.0000
0.0000 0.0000 6.1202
Dy Pu C
4 4 4
Direct
0.0000 0.0000 0.0000 Dy
0.0000 0.5000 0.5000 Dy
0.5000 0.0000 0.5000 Dy
0.5000 0.5000 0.0000 Dy
0.0000 0.0000 0.5000 Pu
0.0000 0.5000 0.0000 Pu
0.5000 0.0000 0.0000 Pu
0.5000 0.5000 0.5000 Pu
0.2500 0.2500 0.7500 C
0.2500 0.7500 0.2500 C
0.7500 0.2500 0.2500 C
0.7500 0.7500 0.7500 C
```

[6]
Density functional theory data (PBE) for a geometry-optimized Fe4RuRh15 structure.

Output
As for the total energy: -7.70 eV per atom. The density of states at the Fermi level is 23.6 states/eV/cell. For the formation energy, the calculation gives -0.7 eV/f.u.

```
Fe4RuRh15
1.0
3.8188 0.0000 0.0000
0.0000 3.8188 0.0000
0.0000 0.0000 19.0181
Fe Ru Rh
4 1 15
Direct
0.0000 0.0000 0.0996 Fe
0.0000 0.0000 0.2975 Fe
0.0000 0.0000 0.7025 Fe
0.0000 0.0000 0.9004 Fe
0.0000 0.0000 0.5000 Ru
0.0000 0.5000 0.0000 Rh
0.0000 0.5000 0.1997 Rh
0.0000 0.5000 0.3997 Rh
0.0000 0.5000 0.6003 Rh
0.0000 0.5000 0.8003 Rh
0.5000 0.0000 0.0000 Rh
0.5000 0.0000 0.1997 Rh
0.5000 0.0000 0.3997 Rh
0.5000 0.0000 0.6003 Rh
0.5000 0.0000 0.8003 Rh
0.5000 0.5000 0.0997 Rh
0.5000 0.5000 0.2998 Rh
0.5000 0.5000 0.5000 Rh
0.5000 0.5000 0.7002 Rh
0.5000 0.5000 0.9003 Rh
```

[7]
Density functional theory data (PBE) for a geometry-optimized MnTlSn2Hg structure.

Output
As for the total energy: -3.79 eV per atom. The density of states at the Fermi level is 3.0 states/eV/cell. For the formation energy, the calculation gives 0.9 eV/f.u.

```
MnTlSn2Hg
1.0
5.0333 0.0000 0.0000
0.0000 5.0333 0.0000
0.0000 0.0000 5.2807
Mn Tl Sn Hg
1 1 2 1
Direct
0.0000 0.0000 0.0000 Mn
0.5000 0.5000 0.5000 Tl
0.0000 0.5000 0.0000 Sn
0.5000 0.0000 0.0000 Sn
0.0000 0.0000 0.5000 Hg
```

[8]
Density functional theory data (PBE) for a geometry-optimized Ac3Tl2Ge structure.

Output
As for the total energy: -4.00 eV per atom. The density of states at the Fermi level is 9.5 states/eV/cell. For the formation energy, the calculation gives -2.3 eV/f.u.

```
Ac3Tl2Ge
1.0
9.6995 -2.9960 0.0000
9.6995 2.9960 0.0000
-3.5728 0.0000 7.6052
Ac Tl Ge
6 4 2
Direct
0.0006 0.9994 0.7500 Ac
0.3662 0.3663 0.3681 Ac
0.3663 0.3662 0.8681 Ac
0.6337 0.6338 0.1319 Ac
0.6338 0.6337 0.6319 Ac
0.9994 0.0006 0.2500 Ac
0.1938 0.1942 0.4465 Tl
0.1942 0.1938 0.9465 Tl
0.8058 0.8062 0.0535 Tl
0.8062 0.8058 0.5535 Tl
0.4993 0.5007 0.2500 Ge
0.5007 0.4993 0.7500 Ge
```

Q: Among the records above, which one has the highest total energy?
A: SrLi2Hg

Q: Which formula does entry 2 have?
A: AcTiTcGe2

Q: Which of these has the highest total energy?
A: SrLi2Hg

Q: What is the total energy in the seventh record?
A: -3.79 eV per atom